# 1
This record from Alexandria via LeMat-Bulk describes a PBEsol-optimized structure of MgMnRe. The functional is SCAN.

abc: 4.0349 4.0349 4.0349
angles: 60.00 60.00 60.00
Sites, in units of the cell vectors:
Mg: 0.0000 0.0000 0.0000
Mn: 0.7500 0.7500 0.7500
Re: 0.5000 0.5000 0.5000

Computed properties:
Formation energy, eV/atom: 0.6781
M_tot, μB per cell: 0.00
Energy relative to the lowest polymorph listed for this composition, meV/atom: 531
Energy, eV per atom: -30.76
SG: F-43m (216)

=====

# 2
This record from Alexandria via LeMat-Bulk describes a PBEsol-optimized structure of BeSCl2. The functional is SCAN.

abc: 10.4527 10.4527 10.4527
angles: 16.79 16.79 16.79
Sites, in units of the cell vectors:
Be: 0.0000 0.0000 0.0000
S: 0.5000 0.5000 0.5000
Cl: 0.3749 0.3749 0.3749
Cl: 0.6251 0.6251 0.6251

Computed properties:
M_tot, μB per cell: 0.51
Energy, eV per atom: -7.92
ΔE_f (raw), eV per atom: -0.436
SG: R-3m (166)

=====

# 3
This record from Alexandria via LeMat-Bulk describes a PBEsol-optimized structure of MgSc2Cu. The functional is SCAN.

abc: 9.2496 9.2496 9.2496
angles: 20.28 20.28 20.28
Sites, in units of the cell vectors:
Mg: 0.0000 0.0000 0.0000
Sc: 0.2369 0.2369 0.2369
Sc: 0.7631 0.7631 0.7631
Cu: 0.5000 0.5000 0.5000

Computed properties:
Formation energy, eV/atom: 0.0230
M_tot, μB per cell: 0.26
Energy, eV per atom: -12.14
SG: R-3m (166)

=====

# 4
This record from Alexandria via LeMat-Bulk describes a PBEsol-optimized structure of CaCuHg. The functional is SCAN.

abc: 4.6931 4.6931 4.6931
angles: 60.00 60.00 60.00
Sites, in units of the cell vectors:
Ca: 0.0000 0.0000 0.0000
Cu: 0.5000 0.5000 0.5000
Hg: 0.2500 0.2500 0.2500

Computed properties:
Formation energy, eV/atom: -0.0774
M_tot, μB per cell: 0.00
Energy, eV per atom: -31.09
SG: F-43m (216)

=====

# 5
This record from Alexandria via LeMat-Bulk describes a PBEsol-optimized structure of TlBiCl3. The functional is SCAN.

abc: 5.5379 5.5379 5.5379
angles: 90.00 90.00 90.00
Sites, in units of the cell vectors:
Tl: 0.0000 0.0000 0.0000
Bi: 0.5000 0.5000 0.5000
Cl: 0.0000 0.5000 0.5000
Cl: 0.5000 0.0000 0.5000
Cl: 0.5000 0.5000 0.0000

Computed properties:
M_tot, μB per cell: 0.00
Energy, eV per atom: -35.69
ΔE_f (raw), eV per atom: -0.719
SG: Pm-3m (221)

=====

# 6
This record from Alexandria via LeMat-Bulk describes a PBEsol-optimized structure of Ca2YCu. The functional is SCAN.

abc: 6.3172 6.3172 3.4665
angles: 101.76 101.76 118.37
Sites, in units of the cell vectors:
Ca: 0.0000 0.5000 0.0000
Ca: 0.5000 0.0000 0.0000
Y: 0.0000 0.0000 0.5000
Cu: 0.5000 0.5000 0.5000

Computed properties:
Formation energy, eV/atom: 0.3663
M_tot, μB per cell: 0.00
Energy relative to the lowest polymorph listed for this composition, meV/atom: 431
Energy, eV per atom: -15.23
SG: C2/m (12)

=====

# 7
This record from Alexandria via LeMat-Bulk describes a PBEsol-optimized structure of MnPCN2. The functional is SCAN.

abc: 3.4832 3.4832 3.7334
angles: 90.00 90.00 90.00
Sites, in units of the cell vectors:
Mn: 0.0000 0.0000 0.0000
P: 0.5000 0.5000 0.0000
C: 0.5000 0.5000 0.5000
N: 0.0000 0.5000 0.5000
N: 0.5000 0.0000 0.5000

Computed properties:
M_tot, μB per cell: 2.21
Energy, eV per atom: -9.60
ΔE_f (raw), eV per atom: 1.871
SG: P4/mmm (123)

=====

# 8
This record from Alexandria via LeMat-Bulk describes a PBEsol-optimized structure of SrCa3V4O12. The functional is SCAN.

abc: 5.3232 7.5145 5.3305
angles: 90.00 90.00 90.00
Sites, in units of the cell vectors:
Sr: 0.0000 0.0000 0.0000
Ca: 0.4970 0.0000 0.4920
Ca: 0.4979 0.5000 0.5348
Ca: 0.9906 0.5000 0.0368
V: 0.4956 0.2523 0.0130
V: 0.4956 0.7477 0.0130
V: 0.9982 0.2523 0.5139
V: 0.9982 0.7477 0.5139
O: 0.0430 0.5000 0.5203
O: 0.2232 0.2392 0.2399
O: 0.2232 0.7608 0.2399
O: 0.2772 0.2231 0.7334
O: 0.2772 0.7769 0.7334
O: 0.4497 0.5000 0.9954
O: 0.5305 0.0000 0.0310
O: 0.7212 0.2799 0.2893
O: 0.7212 0.7201 0.2893
O: 0.7737 0.2725 0.7902
O: 0.7737 0.7275 0.7902
O: 0.9503 0.0000 0.5064

Computed properties:
M_tot, μB per cell: 0.00
Energy, eV per atom: -12.82
ΔE_f (raw), eV per atom: -3.022
SG: Pm (6)

=====

# 9
This record from Alexandria via LeMat-Bulk describes a PBEsol-optimized structure of LiTaAl. The functional is SCAN.

abc: 5.9731 5.9731 5.9731
angles: 152.20 152.20 39.72
Sites, in units of the cell vectors:
Li: 0.0000 0.0000 0.0000
Ta: 0.6800 0.6800 0.0000
Al: 0.3499 0.3499 0.0000

Computed properties:
Formation energy, eV/atom: 0.0342
M_tot, μB per cell: 0.00
Energy, eV per atom: -25.54
SG: I4mm (107)

=====

# 10
This record from Alexandria via LeMat-Bulk describes a PBEsol-optimized structure of LaTe2Os. The functional is SCAN.

abc: 6.0814 5.7365 4.5762
angles: 71.26 63.29 45.45
Sites, in units of the cell vectors:
La: 0.0000 0.0000 0.0000
Te: 0.0000 0.5000 0.5000
Te: 0.5000 0.0000 0.0000
Os: 0.5000 0.5000 0.5000

Computed properties:
M_tot, μB per cell: 0.72
Energy relative to the lowest polymorph listed for this composition, meV/atom: 562
Energy, eV per atom: -47.26
ΔE_f (raw), eV per atom: 0.109
SG: Fmmm (69)

=====

# 11
This record from Alexandria via LeMat-Bulk describes a PBEsol-optimized structure of BaZn3Pt. The functional is SCAN.

abc: 5.6432 5.6432 5.6432
angles: 90.00 90.00 90.00
Sites, in units of the cell vectors:
Ba: 0.0000 0.0000 0.0000
Zn: 0.0000 0.0000 0.5000
Zn: 0.0000 0.5000 0.0000
Zn: 0.5000 0.0000 0.0000
Pt: 0.5000 0.5000 0.5000

Computed properties:
Formation energy, eV/atom: 1.6152
M_tot, μB per cell: 0.15
Energy relative to the lowest polymorph listed for this composition, meV/atom: 2178
Energy, eV per atom: -28.44
SG: Pm-3m (221)

=====

# 12
This record from Alexandria via LeMat-Bulk describes a PBEsol-optimized structure of NiPt2Rh. The functional is SCAN.

abc: 4.6247 4.6247 4.6247
angles: 131.55 131.55 70.94
Sites, in units of the cell vectors:
Ni: 0.0000 0.0000 0.0000
Pt: 0.2500 0.7500 0.5000
Pt: 0.7500 0.2500 0.5000
Rh: 0.5000 0.5000 0.0000

Computed properties:
Formation energy, eV/atom: -0.0841
M_tot, μB per cell: 2.06
Energy, eV per atom: -47.67
SG: I4/mmm (139)

=====

# 13
This record from Alexandria via LeMat-Bulk describes a PBEsol-optimized structure of Zn2InSi2. The functional is SCAN.

abc: 5.9239 5.9239 5.9239
angles: 138.73 138.73 59.79
Sites, in units of the cell vectors:
Zn: 0.2500 0.7500 0.5000
Zn: 0.7500 0.2500 0.5000
In: 0.0000 0.0000 0.0000
Si: 0.3866 0.3866 0.0000
Si: 0.6134 0.6134 0.0000

Computed properties:
M_tot, μB per cell: 0.00
Energy relative to the lowest polymorph listed for this composition, meV/atom: 0
Energy, eV per atom: -15.84
ΔE_f (raw), eV per atom: 0.254
SG: I4/mmm (139)

=====

# 14
This record from Alexandria via LeMat-Bulk describes a PBEsol-optimized structure of BaReMo2. The functional is SCAN.

abc: 3.1900 4.5592 5.0668
angles: 90.00 90.00 90.00
Sites, in units of the cell vectors:
Ba: 0.0000 0.0000 0.0000
Re: 0.5000 0.0000 0.5000
Mo: 0.0000 0.5000 0.5000
Mo: 0.5000 0.5000 0.0000

Computed properties:
Formation energy, eV/atom: 1.5942
M_tot, μB per cell: 0.41
Energy, eV per atom: -43.51
SG: Pmmm (47)

=====

# 15
This record from Alexandria via LeMat-Bulk describes a PBEsol-optimized structure of TcAs2Pt. The functional is SCAN.

abc: 6.7532 6.7532 6.7532
angles: 132.05 132.05 70.15
Sites, in units of the cell vectors:
Tc: 0.0000 0.0000 0.0000
Tc: 0.7500 0.2500 0.5000
As: 0.1164 0.6250 0.9914
As: 0.3750 0.3664 0.4914
As: 0.6336 0.1250 0.0086
As: 0.8750 0.8836 0.5086
Pt: 0.2500 0.7500 0.5000
Pt: 0.5000 0.5000 0.0000

Computed properties:
Formation energy, eV/atom: -0.0255
M_tot, μB per cell: 0.00
Energy relative to the lowest polymorph listed for this composition, meV/atom: 0
Energy, eV per atom: -36.43
SG: I-42d (122)

=====

# 16
This record from Alexandria via LeMat-Bulk describes a PBEsol-optimized structure of LaZrPb2. The functional is SCAN.

abc: 6.2087 6.2087 6.2087
angles: 137.46 137.46 61.74
Sites, in units of the cell vectors:
La: 0.0000 0.0000 0.0000
Zr: 0.7500 0.2500 0.5000
Pb: 0.2500 0.7500 0.5000
Pb: 0.5000 0.5000 0.0000

Computed properties:
Formation energy, eV/atom: -0.4206
M_tot, μB per cell: 0.00
Energy, eV per atom: -56.76
SG: I-4m2 (119)

=====

# 17
This record from Alexandria via LeMat-Bulk describes a PBEsol-optimized structure of NaBeSF2. The functional is SCAN.

abc: 3.8567 3.8567 5.1278
angles: 90.00 90.00 90.00
Sites, in units of the cell vectors:
Na: 0.0000 0.0000 0.0000
Be: 0.5000 0.5000 0.5000
S: 0.0000 0.0000 0.5000
F: 0.0000 0.5000 0.0000
F: 0.5000 0.0000 0.0000

Computed properties:
M_tot, μB per cell: 1.00
Energy, eV per atom: -5.71
ΔE_f (raw), eV per atom: -0.656
SG: P4/mmm (123)

=====

# 18
This record from Alexandria via LeMat-Bulk describes a PBEsol-optimized structure of AlCrNO2. The functional is SCAN.

abc: 3.5324 3.5324 3.9875
angles: 90.00 90.00 90.00
Sites, in units of the cell vectors:
Al: 0.0000 0.0000 0.0000
Cr: 0.5000 0.5000 0.5000
N: 0.5000 0.5000 0.0000
O: 0.0000 0.5000 0.5000
O: 0.5000 0.0000 0.5000

Computed properties:
M_tot, μB per cell: 0.00
Energy, eV per atom: -10.34
ΔE_f (raw), eV per atom: -0.762
SG: P4/mmm (123)

=====

# 19
This record from Alexandria via LeMat-Bulk describes a PBEsol-optimized structure of CaB6H8O14. The functional is SCAN.

abc: 9.8837 7.8076 14.5031
angles: 90.00 111.72 90.00
Sites, in units of the cell vectors:
Ca: 0.2177 0.0592 0.1895
Ca: 0.2177 0.4408 0.6895
Ca: 0.7823 0.5592 0.3105
Ca: 0.7823 0.9408 0.8105
B: 0.0188 0.1010 0.7540
B: 0.0188 0.3990 0.2540
B: 0.1599 0.6635 0.3227
B: 0.1599 0.8365 0.8227
B: 0.2353 0.0501 0.7116
B: 0.2353 0.4499 0.2116
B: 0.3772 0.7483 0.9713
B: 0.3772 0.7517 0.4713
B: 0.4240 0.6613 0.3244
B: 0.4240 0.8387 0.8244
B: 0.4907 0.1131 0.7626
B: 0.4907 0.3869 0.2626
B: 0.5093 0.6131 0.7374
B: 0.5093 0.8869 0.2374
B: 0.5760 0.1613 0.1756
B: 0.5760 0.3387 0.6756
B: 0.6228 0.2483 0.5287
B: 0.6228 0.2517 0.0287
B: 0.7647 0.5501 0.7884
B: 0.7647 0.9499 0.2884
B: 0.8401 0.1635 0.1773
B: 0.8401 0.3365 0.6773
B: 0.9812 0.6010 0.7460
B: 0.9812 0.8990 0.2460
H: 0.0600 0.1913 0.9859
H: 0.0600 0.3087 0.4859
H: 0.1455 0.7251 0.0916
H: 0.1455 0.7749 0.5916
H: 0.1468 0.6602 0.5040
H: 0.1468 0.8398 0.0040
H: 0.1820 0.0566 0.5674
H: 0.1820 0.4434 0.0674
H: 0.2260 0.2122 0.9903
H: 0.2260 0.2878 0.4903
H: 0.2629 0.0017 0.3975
H: 0.2629 0.4983 0.8975
H: 0.3554 0.6263 0.0892
H: 0.3554 0.8737 0.5892
H: 0.3903 0.1263 0.3961
H: 0.3903 0.3737 0.8961
H: 0.6097 0.6263 0.1039
H: 0.6097 0.8737 0.6039
H: 0.6446 0.1263 0.4108
H: 0.6446 0.3737 0.9108
H: 0.7371 0.5017 0.1025
H: 0.7371 0.9983 0.6025
H: 0.7740 0.7122 0.5097
H: 0.7740 0.7878 0.0097
H: 0.8180 0.5566 0.9326
H: 0.8180 0.9434 0.4326
H: 0.8532 0.1602 0.9960
H: 0.8532 0.3398 0.4960
H: 0.8545 0.2251 0.4084
H: 0.8545 0.2749 0.9084
H: 0.9400 0.6913 0.5141
H: 0.9400 0.8087 0.0141
O: 0.0452 0.5406 0.3151
O: 0.0452 0.9594 0.8151
O: 0.1049 0.6904 0.7559
O: 0.1049 0.8096 0.2559
O: 0.1058 0.1456 0.7037
O: 0.1058 0.3544 0.2037
O: 0.1136 0.6564 0.5616
O: 0.1136 0.8436 0.0616
O: 0.1642 0.2224 0.0296
O: 0.1642 0.2776 0.5296
O: 0.2149 0.5385 0.1171
O: 0.2149 0.9615 0.6171
O: 0.2287 0.7236 0.4257
O: 0.2287 0.7764 0.9257
O: 0.2751 0.5757 0.2949
O: 0.2751 0.9243 0.7949
O: 0.2822 0.1052 0.3663
O: 0.2822 0.3948 0.8663
O: 0.3518 0.1750 0.7315
O: 0.3518 0.3250 0.2315
O: 0.3998 0.6917 0.7569
O: 0.3998 0.8083 0.2569
O: 0.4304 0.6717 0.0637
O: 0.4304 0.8283 0.5637
O: 0.4721 0.0407 0.1885
O: 0.4721 0.4593 0.6885
O: 0.4723 0.7150 0.4267
O: 0.4723 0.7850 0.9267
O: 0.5277 0.2150 0.0733
O: 0.5277 0.2850 0.5733
O: 0.5279 0.5407 0.3115
O: 0.5279 0.9593 0.8115
O: 0.5696 0.1717 0.4363
O: 0.5696 0.3283 0.9363
O: 0.6002 0.1917 0.7431
O: 0.6002 0.3083 0.2431
O: 0.6482 0.6750 0.7685
O: 0.6482 0.8250 0.2685
O: 0.7178 0.6052 0.1337
O: 0.7178 0.8948 0.6337
O: 0.7249 0.0757 0.2051
O: 0.7249 0.4243 0.7051
O: 0.7713 0.2236 0.0743
O: 0.7713 0.2764 0.5743
O: 0.7851 0.0385 0.3829
O: 0.7851 0.4615 0.8829
O: 0.8358 0.7224 0.4704
O: 0.8358 0.7776 0.9704
O: 0.8864 0.1564 0.9384
O: 0.8864 0.3436 0.4384
O: 0.8942 0.6456 0.7963
O: 0.8942 0.8544 0.2963
O: 0.8951 0.1904 0.7441
O: 0.8951 0.3096 0.2441
O: 0.9548 0.0406 0.1849
O: 0.9548 0.4594 0.6849

Computed properties:
M_tot, μB per cell: 0.00
Energy, eV per atom: -7.91
SG: P2_1/c (14)

=====

# 20
This record from Alexandria via LeMat-Bulk describes a PBEsol-optimized structure of Ba2ZnNi. The functional is SCAN.

abc: 5.2241 5.2241 5.2241
angles: 60.00 60.00 60.00
Sites, in units of the cell vectors:
Ba: 0.0000 0.0000 0.0000
Ba: 0.2500 0.2500 0.2500
Zn: 0.5000 0.5000 0.5000
Ni: 0.7500 0.7500 0.7500

Computed properties:
Formation energy, eV/atom: 0.3407
M_tot, μB per cell: 0.00
Energy, eV per atom: -26.86
SG: F-43m (216)

=====

# 21
This record from Alexandria via LeMat-Bulk describes a PBEsol-optimized structure of Pd3S. The functional is SCAN.

abc: 4.5359 4.5359 6.1541
angles: 90.00 90.00 72.15
Sites, in units of the cell vectors:
Pd: 0.0000 0.0000 0.0000
Pd: 0.0000 0.0000 0.5000
Pd: 0.1484 0.4605 0.7500
Pd: 0.4605 0.1484 0.2500
Pd: 0.5395 0.8516 0.7500
Pd: 0.8516 0.5395 0.2500
S: 0.3150 0.6850 0.2500
S: 0.6850 0.3150 0.7500

Computed properties:
M_tot, μB per cell: 0.00
Energy, eV per atom: -27.24
ΔE_f (raw), eV per atom: -0.257
SG: Cmcm (63)

=====

# 22
This record from Alexandria via LeMat-Bulk describes a PBEsol-optimized structure of ZrAs2Cl. The functional is SCAN.

abc: 5.2571 5.2571 4.7356
angles: 100.06 100.06 37.03
Sites, in units of the cell vectors:
Zr: 0.0000 0.0000 0.0000
As: 0.2675 0.2675 0.8133
As: 0.7325 0.7325 0.1867
Cl: 0.5000 0.5000 0.5000

Computed properties:
M_tot, μB per cell: 0.00
Energy, eV per atom: -20.40
ΔE_f (raw), eV per atom: -0.635
SG: C2/m (12)